DFT (PBE) results for an optimized crystal structure of La4PmNd6.

Cell lengths 11.2046, 11.2046, 3.6684 Å; angles 90.00, 90.00, 120.00 degrees
Space group P-6m2 (No. 187)
Unique sites:
La 0.0000 0.0000 0.0000 (multiplicity 1)
La 0.5087 0.0175 0.5000 (multiplicity 3)
Pm 0.6667 0.3333 0.0000 (multiplicity 1)
Nd 0.1987 0.3974 0.0000 (multiplicity 3)
Nd 0.2973 0.1487 0.5000 (multiplicity 3)

Computed properties:
Polymorph energy (0 for the lowest one), eV per atom: 0.000
D(E_F), states/eV/atom: 1.478
Size of the total moment, μB/f.u.: 0.0
DFT total energy, eV/atom: -4.68

DFT (PBE) results for an optimized crystal structure of ScFeBr2.

Cell lengths 3.3320, 5.6824, 9.7379 Å; angles 90.00, 90.00, 90.00 degrees
Space group Imm2 (No. 44)
Unique sites:
Sc 0.0000 0.0000 0.0000 (multiplicity 2)
Fe 0.0000 0.5000 0.2683 (multiplicity 2)
Br 0.0000 0.0000 0.5469 (multiplicity 2)
Br 0.0000 0.5000 0.7273 (multiplicity 2)

Computed properties:
Polymorph energy (0 for the lowest one), eV per atom: 0.347
D(E_F), states/eV/atom: 0.593
Uncorrected formation energy, eV/atom: -0.205
Size of the total moment, μB/f.u.: 3.0
DFT total energy, eV/atom: -4.74

DFT (PBE) results for an optimized crystal structure of TlPRu.

Cell lengths 3.1374, 4.2949, 9.9774 Å; angles 94.41, 90.34, 111.37 degrees
Space group P1 (No. 1)
Unique sites:
Tl 0.0000 0.0000 0.0000 (multiplicity 1)
Tl 0.2388 0.4915 0.7388 (multiplicity 1)
P 0.5142 0.0460 0.4884 (multiplicity 1)
P 0.7609 0.5469 0.2462 (multiplicity 1)
Ru 0.0592 0.1411 0.3041 (multiplicity 1)
Ru 0.8036 0.6244 0.4826 (multiplicity 1)

Computed properties:
Polymorph energy (0 for the lowest one), eV per atom: 0.148
D(E_F), states/eV/atom: 0.581
Size of the total moment, μB/f.u.: 0.0
DFT total energy, eV/atom: -5.88

DFT (PBE) results for an optimized crystal structure of TlTePO.

Cell lengths 3.7479, 5.8129, 5.8573 Å; angles 92.28, 90.26, 108.52 degrees
Space group P1 (No. 1)
Unique sites:
Tl 0.0000 0.0000 0.0000 (multiplicity 1)
Te 0.7392 0.4798 0.3301 (multiplicity 1)
P 0.2430 0.4829 0.6463 (multiplicity 1)
O 0.3685 0.7368 0.7683 (multiplicity 1)

Computed properties:
Polymorph energy (0 for the lowest one), eV per atom: 0.007
Uncorrected formation energy, eV/atom: -0.640
Size of the total moment, μB/f.u.: 0.0
DFT total energy, eV/atom: -4.61

DFT (PBE) results for an optimized crystal structure of La2Se3O9.

Cell lengths 8.5761, 14.4342, 7.1670 Å; angles 90.00, 90.00, 90.00 degrees
Space group Pnma (No. 62)
Unique sites:
La 0.1999 0.0640 0.1790 (multiplicity 8)
Se 0.0435 0.7500 0.9063 (multiplicity 4)
Se 0.0480 0.1247 0.6793 (multiplicity 8)
O 0.0569 0.6543 0.7605 (multiplicity 8)
O 0.0747 0.0395 0.8504 (multiplicity 8)
O 0.1194 0.5774 0.4089 (multiplicity 8)
O 0.1562 0.2500 0.0683 (multiplicity 4)
O 0.1987 0.0961 0.5294 (multiplicity 8)

Computed properties:
D(E_F), states/eV/atom: 0.000
Uncorrected formation energy, eV/atom: -1.892
Size of the total moment, μB/f.u.: 0.0
DFT total energy, eV/atom: -6.53

DFT (PBE) results for an optimized crystal structure of CdCu3S.

Cell lengths 4.7784, 4.7784, 4.7784 Å; angles 90.00, 90.00, 90.00 degrees
Space group Pm-3m (No. 221)
Unique sites:
Cd 0.0000 0.0000 0.0000 (multiplicity 1)
Cu 0.0000 0.0000 0.5000 (multiplicity 3)
S 0.5000 0.5000 0.5000 (multiplicity 1)

Computed properties:
Polymorph energy (0 for the lowest one), eV per atom: 0.849
D(E_F), states/eV/atom: 0.754
Uncorrected formation energy, eV/atom: 1.120
Size of the total moment, μB/f.u.: 0.0
DFT total energy, eV/atom: -2.35

DFT (PBE) results for an optimized crystal structure of Na2ZrIrCl.

Cell lengths 5.5533, 5.5533, 4.8710 Å; angles 90.00, 90.00, 90.00 degrees
Space group P4/mmm (No. 123)
Unique sites:
Na 0.0000 0.5000 0.0000 (multiplicity 2)
Zr 0.0000 0.0000 0.5000 (multiplicity 1)
Ir 0.0000 0.0000 0.0000 (multiplicity 1)
Cl 0.5000 0.5000 0.5000 (multiplicity 1)

Computed properties:
D(E_F), states/eV/atom: 0.798
Uncorrected formation energy, eV/atom: 0.145
Size of the total moment, μB/f.u.: 0.0
DFT total energy, eV/atom: -4.23